A plane-wave DFT calculation with PBE with a Hubbard U was carried out for a geometry-optimized Sr3WF structure.

Structure (POSCAR):
```
Sr3WF
1.0
5.397 0.000 0.000
0.000 5.397 0.000
0.000 0.000 5.397
Sr W F
3 1 1
Cartesian
0.000 0.000 2.698
0.000 2.698 0.000
2.698 0.000 0.000
2.698 2.698 2.698
0.000 0.000 0.000
```

Results
VASP energy in eV per atom: -3.371
Offset from the most stable computed form in meV per atom: 0.0
SG: Pm-3m (221)